Entry i
Density functional theory data (PBE-GGA) for crystalline BaAuO at its relaxed geometry.

```
BaAuO
1.0
-1.967 3.084 -1.117
-0.618 -1.628 -3.406
-9.509 -3.330 1.186
Ba O Au
2 2 2
Cartesian
-7.205 -2.182 -0.907
-5.348 1.408 -0.811
-8.167 -1.293 -3.306
-5.004 -1.110 -1.819
-1.520 1.305 -1.414
-0.846 -1.052 -2.559
```

Computed properties:
* ρ: 8.1 Mg/m³


Entry ii
Density functional theory data (PBE-GGA) for crystalline BaAuO at its relaxed geometry.

```
BaAuO
1.0
8.464 0.000 0.000
0.000 5.596 0.000
-0.624 0.000 6.421
Ba O Au
4 4 4
Cartesian
2.353 0.000 4.413
2.665 2.798 1.202
5.488 0.000 2.008
5.176 2.798 5.219
5.248 2.798 1.366
2.905 0.000 1.844
2.593 2.798 5.055
4.936 0.000 4.577
0.700 2.798 3.984
6.829 0.000 5.647
7.140 2.798 2.437
1.012 0.000 0.774
```

Computed properties:
* ρ: 7.6 Mg/m³


Entry iii
Density functional theory data (PBE-GGA) for crystalline BaAuO at its relaxed geometry.

```
BaAuO
1.0
-2.564 -4.302 1.473
0.301 -2.081 -5.552
8.067 -4.128 1.985
Au O Ba
4 4 4
Cartesian
-1.282 -2.151 0.737
4.184 -3.104 -1.784
2.902 -5.256 -1.047
0.000 0.000 0.000
6.521 -5.927 -1.333
-0.717 -4.585 -0.761
3.236 -6.090 1.723
2.568 -4.421 -3.818
5.016 -7.681 0.175
0.788 -2.830 -2.269
4.953 -5.804 -3.705
0.851 -4.707 1.611
```

Computed properties:
* ρ: 8.1 Mg/m³


Entry iv
Density functional theory data (PBE-GGA) for crystalline BaAuO at its relaxed geometry.

```
BaAuO
1.0
4.385 0.001 0.004
2.191 3.798 0.004
2.187 1.264 5.277
O Ba Au
1 1 1
Cartesian
4.415 1.906 4.112
6.608 3.173 3.443
2.226 0.642 0.939
```

Computed properties:
* ρ: 6.6 Mg/m³


Relative to the most stable one, in kJ/mol of atoms, the structures come out at entry i 2.7; entry ii 0.0; entry iii 28.8; entry iv 38.1.


Entry i
Density functional theory data (PBE-GGA) for crystalline BaAuO at its relaxed geometry.

```
BaAuO
1.0
4.276 0.000 0.000
-0.067 5.267 0.000
-1.890 -2.424 6.574
Ba Au O
2 2 2
Cartesian
2.428 2.736 2.248
-0.108 0.108 4.326
0.829 0.056 0.981
1.491 2.788 5.592
0.261 2.732 3.769
2.059 0.112 2.804
```

Computed properties:
* ρ: 7.9 Mg/m³


Entry ii
Density functional theory data (PBE-GGA) for crystalline BaAuO at its relaxed geometry.

```
BaAuO
1.0
4.013 0.000 0.000
0.000 4.013 0.000
0.000 0.000 18.446
O Ba Au
4 4 4
Cartesian
0.000 0.000 3.470
2.007 2.007 5.753
0.000 0.000 14.976
2.007 2.007 12.693
0.000 0.000 12.375
2.007 2.007 3.152
0.000 0.000 6.071
2.007 2.007 15.294
0.000 0.000 17.180
0.000 0.000 1.266
2.007 2.007 7.957
2.007 2.007 10.489
```

Computed properties:
* ρ: 7.8 Mg/m³


Relative to the most stable one, in kJ/mol of atoms, the structures come out at entry i 4.2; entry ii 0.0.


Entry i
Density functional theory data (PBE-GGA) for crystalline Ba4AuO at its relaxed geometry.

```
Ba4AuO
1.0
6.829 -0.297 0.000
-3.770 7.498 0.000
0.000 0.000 10.915
Ba O Au
8 2 2
Cartesian
1.496 0.581 8.186
-2.062 5.602 0.700
5.121 1.599 10.215
-2.062 5.602 4.757
1.395 5.244 8.186
1.665 1.957 2.729
5.121 1.599 6.158
1.564 6.620 2.729
5.820 0.237 8.186
-2.760 6.964 2.729
5.104 2.523 2.729
-2.045 4.677 8.186
```

Computed properties:
* ρ: 4.6 Mg/m³


Entry ii
Density functional theory data (PBE-GGA) for crystalline Ba4AuO at its relaxed geometry.

```
Ba4AuO
1.0
7.601 0.597 0.000
-0.602 7.598 0.000
-3.499 -4.097 8.596
Ba Au O
8 2 2
Cartesian
-0.593 -1.928 7.682
3.378 5.255 5.211
-0.180 2.641 5.211
0.121 -1.158 3.385
4.092 6.026 0.914
6.707 2.467 0.914
-3.208 1.630 7.682
3.679 1.456 3.385
1.900 0.149 6.446
1.599 3.948 2.150
-2.201 3.650 6.445
5.701 0.448 2.151
```

Computed properties:
* ρ: 5.1 Mg/m³


Relative to the most stable one, in kJ/mol of atoms, the structures come out at entry i 0.0; entry ii 1.1.


Entry i
Density functional theory data (PBE-GGA) for crystalline Ba3AuO at its relaxed geometry.

```
Ba3AuO
1.0
5.469 0.000 0.000
0.000 5.469 0.000
0.000 0.000 5.469
O Ba Au
1 3 1
Cartesian
0.000 0.000 0.000
0.000 2.735 0.000
0.000 0.000 2.735
2.735 0.000 0.000
2.735 2.735 2.735
```

Computed properties:
* ρ: 6.3 Mg/m³


Entry ii
Density functional theory data (PBE-GGA) for crystalline Ba3AuO at its relaxed geometry.

```
Ba3AuO
1.0
-0.119 -0.885 -4.731
-5.440 -7.122 1.361
-8.471 3.173 -0.489
Au Ba O
2 6 2
Cartesian
-5.463 -5.094 -1.376
-6.140 0.707 -0.070
-4.214 -1.318 -2.273
-7.509 -3.954 -3.904
-0.913 -0.758 -4.559
-11.619 -1.658 -4.224
-10.810 -4.515 -1.618
-8.574 -0.441 -2.443
-2.127 -2.522 -3.149
-9.596 -2.751 -3.028
```

Computed properties:
* ρ: 5.5 Mg/m³


Relative to the most stable one, in kJ/mol of atoms, the structures come out at entry i 4.1; entry ii 0.0.